Compound: LiReTc
Source: the Alexandria database
Functional: GGA-PBEsol
Structure: relaxed

Properties
ρ, Mg/m³: 11.051
M_tot, Bohr magnetons per cell: 0.00
Energy of formation from the pure elements, meV/atom: 207
Density of states at the Fermi level, states/eV per cell: 1.554

a = 2.720 Å, b = 2.720 Å, c = 6.830 Å
α = 90.00°, β = 90.00°, γ = 120.00°
Positions (direct):
Li1 0.000 0.000 0.000
Re1 0.333 0.667 0.651
Tc1 0.667 0.333 0.349

=====

Compound: LiRe2Tc
Source: the Alexandria database
Functional: GGA-PBEsol
Structure: relaxed

Properties
Energy above the lowest structure with this stoichiometry, eV per atom: 0.000
ρ, Mg/m³: 14.542
M_tot, Bohr magnetons per cell: 0.00
Energy of formation from the pure elements, meV/atom: 207
Density of states at the Fermi level, states/eV per cell: 3.582

a = 4.256 Å, b = 4.256 Å, c = 4.256 Å
α = 60.00°, β = 60.00°, γ = 60.00°
Positions (direct):
Li1 0.250 0.250 0.250
Re1 0.000 0.000 0.000
Re2 0.750 0.750 0.750
Tc1 0.500 0.500 0.500